Below is CuNi9O10 after structural relaxation, with properties calculated at the PBE+U level.

Spin magnetization   17.0 μB/f.u.
E   -4.817 eV/atom

Cell: 5.1599 5.9914 6.6552 Å, 102.73 97.53 105.83°
With the nearest neighbours (Å) after each atom.
Space group P-1 (No. 2)
Inequivalent atoms, fractional coordinates:
Cu: 0.0000 0.0000 0.0000 x1  6 O 2.06-2.26
Ni: 0.0000 0.5000 0.0000 x1  6 O 2.09-2.15
Ni: 0.2002 0.9000 0.4004 x2  6 O 2.09-2.12
Ni: 0.2016 0.4012 0.3989 x2  6 O 2.09-2.15
Ni: 0.3971 0.2964 0.8012 x2  6 O 2.04-2.13
Ni: 0.4010 0.7965 0.8000 x2  6 O 2.09-2.14
O: 0.0970 0.4475 0.6985 x2  6 Ni 2.09-2.14
O: 0.1001 0.9490 0.7005 x2  1 Cu 2.10, 5 Ni 2.10-2.14
O: 0.2961 0.8542 0.0979 x2  1 Cu 2.06, 5 Ni 2.10-2.15
O: 0.3157 0.3709 0.1069 x2  5 Ni 2.04-2.11, 1 Cu 2.26
O: 0.4983 0.2468 0.4984 x2  6 Ni 2.09-2.15